(1)
{
  "formula": "CuH8Ir2Pb",
  "functional": "PBE-GGA",
  "state": "optimized geometry",
  "total_magnetization_mub_per_atom": 0.00,
  "energy_ev_per_atom": -4.209,
  "lattice_angstrom": [[-4.148, 2.143, -0.012], [-3.614, -1.896, 2.267], [-1.037, 3.112, 5.757]],
  "species": ["Cu", "H", "H", "H", "H", "H", "H", "H", "H", "Ir", "Ir", "Pb"],
  "fractional_positions": [[0.000, 0.000, 0.000], [0.201, 0.201, 0.396], [0.635, 0.248, 0.179], [0.799, 0.799, 0.604], [0.938, 0.635, 0.179], [0.062, 0.365, 0.821], [0.248, 0.938, 0.179], [0.752, 0.062, 0.821], [0.365, 0.752, 0.821], [0.290, 0.290, 0.130], [0.710, 0.710, 0.870], [0.500, 0.500, 0.500]]
}

=====

(2)
{
  "formula": "CuH6Ir2Pb",
  "functional": "PBE-GGA",
  "state": "optimized geometry",
  "total_magnetization_mub_per_atom": 0.00,
  "energy_ev_per_atom": -4.419,
  "lattice_angstrom": [[-1.385, 1.054, 6.436], [6.549, -0.952, 0.818], [-0.104, 4.601, -1.790]],
  "species": ["Cu", "Cu", "H", "H", "H", "H", "H", "H", "H", "H", "H", "H", "H", "H", "Ir", "Ir", "Ir", "Ir", "Pb", "Pb"],
  "fractional_positions": [[0.725, 0.275, 0.250], [0.275, 0.725, 0.750], [0.053, 0.454, 0.159], [0.546, 0.947, 0.341], [0.947, 0.546, 0.841], [0.454, 0.053, 0.659], [0.325, 0.284, 0.257], [0.716, 0.675, 0.243], [0.675, 0.716, 0.743], [0.284, 0.325, 0.757], [0.322, 0.528, 0.485], [0.472, 0.678, 0.015], [0.678, 0.472, 0.515], [0.528, 0.322, 0.985], [0.342, 0.124, 0.911], [0.876, 0.658, 0.589], [0.658, 0.876, 0.089], [0.124, 0.342, 0.411], [0.116, 0.884, 0.250], [0.884, 0.116, 0.750]]
}

=====

Question: What is the formula in the first record?
Answer: CuH8Ir2Pb